(1)
The following is a GGA-PBEsol calculation of crystalline Be2CrBBr at its relaxed geometry, from Alexandria.

Cell lengths 4.5099, 4.5099, 3.7912 Å; angles 90.00, 90.00, 90.00 degrees
Closest atoms and distances in Å follow each position.
Space group P4/mmm (No. 123)
Asymmetric unit:
Be 0.0000 0.5000 0.0000 x2  2 Cr 2.25
Cr 0.0000 0.0000 0.0000 x1  2 B 1.90
B 0.0000 0.0000 0.5000 x1  2 Cr 1.90
Br 0.5000 0.5000 0.5000 x1  8 Be 2.95, 4 B 3.19

Total moment in μB per formula unit: 1.524
Formation energy (no corrections) in eV/f.u.: 7.5


(2)
The following is a GGA-PBEsol calculation of crystalline NaCaBe2B2O6F at its relaxed geometry, from Alexandria.

Cell lengths 4.6396, 8.0286, 14.1350 Å; angles 90.00, 90.27, 90.00 degrees
Closest atoms and distances in Å follow each position.
Space group Cc (No. 9)
Asymmetric unit:
Na 0.0000 0.0042 0.0000 x4  2 F 2.42-2.50, 4 O 2.46-2.53
Ca 0.4886 0.4904 0.7506 x4  6 O 2.34-2.40
Be 0.4671 0.1613 0.3880 x4  3 O 1.59-1.61, 1 F 1.65
Be 0.4930 0.1801 0.6140 x4  3 O 1.59-1.62, 1 F 1.65
B 0.0094 0.3459 0.6405 x4  3 O 1.37-1.39
B 0.4757 0.1797 0.8611 x4  3 O 1.38
O 0.1337 0.4980 0.1321 x4  1 B 1.39
O 0.1882 0.2146 0.6656 x4  1 B 1.39
O 0.2170 0.1701 0.1284 x4  1 B 1.37
O 0.2632 0.2992 0.3388 x4  1 B 1.38
O 0.3068 0.3193 0.8754 x4  1 B 1.38
O 0.3543 0.0235 0.8652 x4  1 B 1.38
F 0.3973 0.1906 0.5014 x4  2 Be 1.65

Total moment in μB per formula unit: 0.000
Formation energy (no corrections) in eV/f.u.: -35.7